No. 1
Below is a relaxed Ba3Sc2NbO9 crystal, with properties calculated at the PBE level.

a b c (Å): 5.916 5.916 7.269
angles (deg): 90.00 90.00 120.00
Positions (direct):
1 Ba 0.000 0.000 0.000
2 Ba 0.333 0.667 0.671
3 Ba 0.667 0.333 0.329
4 Sc 0.333 0.667 0.165
5 Sc 0.667 0.333 0.835
6 Nb 0.000 0.000 0.500
7 O 0.000 0.500 0.000
8 O 0.162 0.324 0.340
9 O 0.162 0.838 0.340
10 O 0.324 0.162 0.660
11 O 0.500 0.000 0.000
12 O 0.500 0.500 0.000
13 O 0.676 0.838 0.340
14 O 0.838 0.162 0.660
15 O 0.838 0.676 0.660

Properties
raw formation energy = -2.9727 eV/atom
ρ = 5.6 Mg/m³
VASP energy = -117.7 eV/cell
crystal system = trigonal
symmetry = P-3m1

---

No. 2
Below is a relaxed BaNbSe2O crystal, with properties calculated at the PBE level.

a b c (Å): 5.322 5.322 4.022
angles (deg): 90.00 90.00 90.00
Positions (direct):
1 Ba 0.000 0.000 0.000
2 Nb 0.500 0.500 0.500
3 Se 0.000 0.500 0.500
4 Se 0.500 0.000 0.500
5 O 0.500 0.500 0.000

Properties
raw formation energy = -1.6921 eV/atom
ρ = 5.9 Mg/m³
VASP energy = -32.4 eV/cell
crystal system = tetragonal
symmetry = P4/mmm

---

> What is the raw formation energy in the second record?

-1.6921 eV/atom